Below is crystalline SrZrTc2 at its relaxed geometry, with properties calculated at the GGA-PBEsol level.

The structure in POSCAR format:
```
SrZrTc2
1.0
-0.643 -0.639 2.955
-0.142 -3.011 -0.682
8.621 -0.792 1.705
Sr Tc Zr
1 2 1
direct
0.500 0.500 0.794 Sr
0.000 0.000 0.067 Tc
0.500 0.500 0.214 Tc
0.000 0.000 0.426 Zr
```

Calculated values
* SG: P4mm (99)


Below is crystalline Sr2ZrTc at its relaxed geometry, with properties calculated at the GGA-PBEsol level.

The structure in POSCAR format:
```
Sr2ZrTc
1.0
-2.503 0.515 1.727
0.873 -4.586 2.634
3.914 2.772 3.529
Sr Tc Zr
2 1 1
direct
0.042 0.000 0.760 Sr
0.958 0.000 0.240 Sr
0.500 0.500 0.000 Tc
0.500 0.500 0.500 Zr
```

Calculated values
* SG: P2/m (10)


Below is crystalline SrZr2Tc at its relaxed geometry, with properties calculated at the GGA-PBEsol level.

The structure in POSCAR format:
```
SrZr2Tc
1.0
-2.667 1.461 -1.344
-2.985 -1.444 0.242
-3.540 4.865 8.202
Sr Tc Zr
1 1 2
direct
0.500 0.500 0.500 Sr
0.000 0.000 0.000 Tc
0.271 0.271 0.188 Zr
0.729 0.729 0.812 Zr
```

Calculated values
* SG: R-3m (166)


In the order shown, the computed energy above the most stable polymorph in this dataset values come out to 0 447 0 meV/atom.
In the order shown, the computed formation enthalpy at 0 K values come out to 320 930 315 meV/atom.